{
  "formula": "KTe2Se2",
  "functional": "SCAN",
  "state": "single point on PBEsol structure",
  "density_g_cm3": 5.39,
  "e_form_raw_ev_per_atom": -0.27,
  "dft_energy_ev_per_atom": -24.87,
  "dos_at_fermi_per_ev_atom": 0.54,
  "lattice": [[3.7027, 0.0000, 0.0000], [0.0000, 8.6764, 0.0000], [0.0000, 0.0000, 8.6764]],
  "species": ["Se", "Se", "Te", "Se", "K", "Te", "Te", "Te", "Se", "K"],
  "frac_coords": [[0.5000, 0.2958, 0.2042], [0.5000, 0.7042, 0.7958], [0.0000, 0.1290, 0.3710], [0.5000, 0.7958, 0.2958], [0.0000, 0.5000, 0.5000], [0.0000, 0.8710, 0.6290], [0.0000, 0.6290, 0.1290], [0.0000, 0.3710, 0.8710], [0.5000, 0.2042, 0.7042], [0.0000, 0.0000, 0.0000]]
}